4
Lattice="-1.886 1.886 6.874 1.886 -1.886 6.874 1.886 1.886 -6.874" Properties=species:S:1:pos:R:3 comment="BeAsBr2 PBE-GGA optimized geometry" e_form_raw_ev_per_atom=0.5740 magnetic_moment_mub_per_fu=0.000 polymorph_energy_mev_per_atom=810 pbc="T T T"
Be 0.000 0.000 0.000
As 0.000 1.886 3.437
Br 1.886 0.000 3.437
Br 0.000 0.000 6.874


4
Lattice="-1.795 1.795 7.041 1.795 -1.795 7.041 1.795 1.795 -7.041" Properties=species:S:1:pos:R:3 comment="BeAs2Br PBE-GGA optimized geometry" e_form_raw_ev_per_atom=0.4943 magnetic_moment_mub_per_fu=0.000 polymorph_energy_mev_per_atom=579 pbc="T T T"
Be 0.000 0.000 0.000
As 1.795 0.000 3.521
As 0.000 1.795 3.521
Br 0.000 0.000 7.041


4
Lattice="3.593 0.000 0.000 0.000 3.593 0.000 0.000 0.000 7.052" Properties=species:S:1:pos:R:3 comment="BeAs2Br PBE-GGA optimized geometry" e_form_raw_ev_per_atom=0.5007 magnetic_moment_mub_per_fu=0.000 polymorph_energy_mev_per_atom=585 pbc="T T T"
Be 0.000 0.000 0.000
As 0.000 1.796 3.526
As 1.796 0.000 3.526
Br 1.796 1.796 0.000


5
Lattice="5.330 0.000 0.000 0.000 5.330 0.000 0.000 0.000 5.330" Properties=species:S:1:pos:R:3 comment="BeAsBr3 PBE-GGA optimized geometry" e_form_raw_ev_per_atom=0.4398 magnetic_moment_mub_per_fu=0.357 pbc="T T T"
Be 0.000 0.000 0.000
As 2.665 2.665 2.665
Br 0.000 2.665 2.665
Br 2.665 0.000 2.665
Br 2.665 2.665 0.000


4
Lattice="3.400 0.000 0.000 0.000 4.181 0.000 0.000 0.000 6.368" Properties=species:S:1:pos:R:3 comment="BeAsBr2 PBE-GGA optimized geometry" e_form_raw_ev_per_atom=0.5323 magnetic_moment_mub_per_fu=0.000 polymorph_energy_mev_per_atom=768 pbc="T T T"
Be 0.000 0.000 0.000
As 1.700 0.000 3.184
Br 0.000 2.090 3.184
Br 1.700 2.090 0.000


4
Lattice="3.503 0.000 0.000 0.000 3.688 0.000 0.000 0.000 4.847" Properties=species:S:1:pos:R:3 comment="Be2AsBr PBE-GGA optimized geometry" e_form_raw_ev_per_atom=0.1883 magnetic_moment_mub_per_fu=0.000 polymorph_energy_mev_per_atom=486 pbc="T T T"
Be 0.000 0.000 0.000
Be 1.752 1.844 2.424
As 0.000 0.000 2.424
Br 1.752 1.844 0.000


4
Lattice="4.839 0.000 0.000 0.000 3.243 0.000 -1.451 0.000 7.061" Properties=species:S:1:pos:R:3 comment="BeAsBr2 PBE-GGA optimized geometry" e_form_raw_ev_per_atom=-0.0076 magnetic_moment_mub_per_fu=0.000 polymorph_energy_mev_per_atom=228 pbc="T T T"
Be 0.000 0.000 0.000
As 2.420 0.000 0.000
Br 0.467 1.621 1.703
Br 2.920 1.621 5.357


4
Lattice="1.655 0.956 11.951 -1.655 0.956 11.951 0.000 -1.911 11.951" Properties=species:S:1:pos:R:3 comment="BeAsBr2 PBE-GGA optimized geometry" e_form_raw_ev_per_atom=-0.1010 magnetic_moment_mub_per_fu=0.000 polymorph_energy_mev_per_atom=135 pbc="T T T"
Be 0.000 0.000 0.000
As 0.000 0.000 17.927
Br 0.000 0.000 13.357
Br 0.000 0.000 22.497